Computed, not measured: a crystal of SrBe3 relaxed with PBEsol at the meta-GGA SCAN level of DFT.

- DFT formation energy: 0.867 eV per atom
- Total magnetization: 0.134 μB/atom
- E above lowest polymorph: 0.2498 eV/atom

a b c (Å): 3.5390 3.5390 6.8947
angles (deg): 90.00 90.00 120.00
Space group P-6m2 (No. 187)
One atom of each set of equivalent atoms:
1 Sr 0.0000 0.0000 0.0000 (multiplicity 1)
2 Be 0.0000 0.0000 0.5000 (multiplicity 1)
3 Be 0.6667 0.3333 0.3490 (multiplicity 2)